The following is a DFT calculation (PBE with a Hubbard U) of a relaxed structure of Li6V3P8O29.

The calculated total energy comes out at -7.019 eV/atom.

Cell: 17.0160 9.8260 14.0094 Å, 90.00 90.94 90.00°
Space group C2 (No. 5)
Symmetry-distinct sites (fractional):
1 Li 0.0417 0.0000 0.3097
2 Li 0.0434 0.4607 0.8111
3 Li 0.1130 0.5157 0.3157
4 Li 0.1131 0.9264 0.8135
5 Li 0.1549 0.7949 0.1902
6 Li 0.1673 0.2299 0.6370
7 V 0.0000 0.1617 0.5000
8 V 0.0000 0.3034 0.0000
9 V 0.2173 0.5167 0.5056
10 V 0.2173 0.9496 0.0056
11 P 0.0442 0.0118 0.0922
12 P 0.0465 0.4521 0.5921
13 P 0.1183 0.9362 0.5964
14 P 0.1200 0.5235 0.0983
15 P 0.1533 0.6634 0.9166
16 P 0.1584 0.7997 0.4108
17 P 0.1634 0.2323 0.3768
18 P 0.1644 0.2309 0.8770
19 O 0.0005 0.4803 0.3203
20 O 0.0000 0.5114 0.5000
21 O 0.0000 0.9460 0.0000
22 O 0.0010 0.9762 0.8197
23 O 0.0416 0.0218 0.5916
24 O 0.0430 0.4389 0.0911
25 O 0.0508 0.1655 0.0743
26 O 0.0579 0.2960 0.5764
27 O 0.0889 0.1561 0.4194
28 O 0.0928 0.3149 0.9160
29 O 0.1030 0.6184 0.8355
30 O 0.1104 0.6391 0.0173
31 O 0.1099 0.8374 0.5039
32 O 0.1181 0.8532 0.3221
33 O 0.1256 0.8577 0.6865
34 O 0.1263 0.9436 0.0945
35 O 0.1267 0.5982 0.1920
36 O 0.1276 0.5184 0.5913
37 O 0.1582 0.2324 0.2712
38 O 0.1606 0.2289 0.7693
39 O 0.1627 0.0834 0.9184
40 O 0.1637 0.6432 0.4110
41 O 0.1670 0.3802 0.4202
42 O 0.1671 0.8196 0.9174
43 O 0.1892 0.0321 0.5771
44 O 0.1905 0.4356 0.0729
45 O 0.2342 0.5890 0.9251
46 O 0.2365 0.1514 0.4201
47 O 0.2434 0.3030 0.9104
48 O 0.2432 0.8581 0.4228